ZrCdAg2 | meta-GGA SCAN | single point on PBEsol structure

Output
* uncorrected energy: -248.01 eV/cell
* formation enthalpy at 0 K: -0.039 eV per atom

Cell and atoms, written as CIF:
```
data_ZrCdAg2
_chemical_formula_sum 'Zr2 Cd2 Ag4'
_space_group_name_H-M_alt 'A m m 2'
_space_group_IT_number 38
_cell_length_a 4.5948
_cell_length_b 2.8433
_cell_length_c 11.3687
_cell_angle_alpha 90.00
_cell_angle_beta 90.00
_cell_angle_gamma 90.00
loop_
_space_group_symop_operation_xyz
'x,y,z'
'-x,-y,z'
'-x,y,z'
'x,-y,z'
'x,y+1/2,z+1/2'
'-x,-y+1/2,z+1/2'
'-x,y+1/2,z+1/2'
'x,-y+1/2,z+1/2'
loop_
_atom_site_label
_atom_site_type_symbol
_atom_site_fract_x
_atom_site_fract_y
_atom_site_fract_z
Zr1 Zr 0.0000 0.0000 0.0000
Cd1 Cd 0.5000 0.0000 0.6529
Ag1 Ag 0.0000 0.0000 0.2575
Ag2 Ag 0.5000 0.0000 0.3931
```

***

Sr2Hg | meta-GGA SCAN | single point on PBEsol structure

Output
* uncorrected energy: -113.96 eV/cell
* formation enthalpy at 0 K: -0.416 eV per atom

Cell and atoms, written as CIF:
```
data_Sr2Hg
_chemical_formula_sum 'Sr2 Hg1'
_space_group_name_H-M_alt 'P -3 m 1'
_space_group_IT_number 164
_space_group_name_Hall '-P 3 2"'
_cell_length_a 4.4726
_cell_length_b 4.4726
_cell_length_c 7.3880
_cell_angle_alpha 90.00
_cell_angle_beta 90.00
_cell_angle_gamma 120.00
loop_
_atom_site_label
_atom_site_type_symbol
_atom_site_fract_x
_atom_site_fract_y
_atom_site_fract_z
Sr1 Sr 0.3333 0.6667 0.2609
Hg1 Hg 0.0000 0.0000 0.0000
```